Record 1
The following is a DFT calculation (PBE-GGA) of a relaxed structure of SrGdAsO.

a = 5.5861 Å, b = 5.5861 Å, c = 5.7850 Å
α = 90.00°, β = 90.00°, γ = 90.00°
Last column: nearest neighbours and their distance in Å.
Element x y z (fractional)
As (0.7500, 0.7500, 0.5000)  4 Gd 2.79, 2 Sr 2.89-2.90
As (0.2500, 0.2500, 0.5000)  4 Gd 2.79, 2 Sr 2.89-2.90
Gd (0.7500, 0.2500, 0.5000)  4 As 2.79, 2 O 2.89
Gd (0.2500, 0.7500, 0.5000)  4 As 2.79, 2 O 2.89
O (0.7500, 0.2500, 0.0000)  4 Sr 2.79, 2 Gd 2.89
O (0.2500, 0.7500, 0.0000)  4 Sr 2.79, 2 Gd 2.89
Sr (0.7500, 0.7500, 0.0006)  4 O 2.79, 2 As 2.89-2.90
Sr (0.2500, 0.2500, 0.9994)  4 O 2.79, 2 As 2.89-2.90

The energy above the most stable polymorph in this dataset comes out at 265 meV per atom.



Record 2
The following is a DFT calculation (PBE-GGA) of a relaxed structure of GdTaAsO.

a = 3.8355 Å, b = 7.3342 Å, c = 5.7800 Å
α = 90.00°, β = 90.00°, γ = 90.00°
Last column: nearest neighbours and their distance in Å.
Element x y z (fractional)
As (0.0000, 0.3314, 0.4629)  2 Ta 2.60, 2 Gd 2.85-2.91
As (0.0000, 0.6686, 0.9629)  2 Ta 2.60, 2 Gd 2.85-2.91
Gd (0.0000, 0.7279, 0.4751)  2 O 2.23
Gd (0.0000, 0.2721, 0.9751)  2 O 2.23
O (0.5000, 0.8353, 0.3322)  2 Ta 2.08, 2 Gd 2.23
O (0.5000, 0.1647, 0.8322)  2 Ta 2.08, 2 Gd 2.23
Ta (0.5000, 0.0923, 0.4837)  2 O 2.08
Ta (0.5000, 0.9077, 0.9837)  2 O 2.08

The energy above the most stable polymorph in this dataset comes out at 490 meV per atom.